# Y2CuRe | Alexandria | GGA-PBE | optimized geometry
data_Y2CuRe
_chemical_formula_sum 'Y2 Cu1 Re1'
_space_group_name_H-M_alt 'P 1'
_space_group_IT_number 1
_cell_length_a 5.9545
_cell_length_b 5.9545
_cell_length_c 4.7913
_cell_angle_alpha 66.48
_cell_angle_beta 66.48
_cell_angle_gamma 33.03
loop_
_space_group_symop_operation_xyz
'x,y,z'
loop_
_atom_site_label
_atom_site_fract_x
_atom_site_fract_y
_atom_site_fract_z
Y1 0.0237 0.0237 0.9756
Y2 0.2317 0.2317 0.2689
Cu1 0.4642 0.4642 0.5348
Re1 0.7804 0.7804 0.7206
# - SG: Cm (8)
# - Volume: 21.0 Å³/atom
# - Energy relative to the elements: 0.1621 eV/atom

---

# Y2CuRe | Alexandria | GGA-PBE | optimized geometry
data_Y2CuRe
_chemical_formula_sum 'Y2 Cu1 Re1'
_space_group_name_H-M_alt 'P 1'
_space_group_IT_number 1
_cell_length_a 3.4458
_cell_length_b 3.4458
_cell_length_c 7.1173
_cell_angle_alpha 90.00
_cell_angle_beta 90.00
_cell_angle_gamma 90.00
loop_
_space_group_symop_operation_xyz
'x,y,z'
loop_
_atom_site_label
_atom_site_fract_x
_atom_site_fract_y
_atom_site_fract_z
Re1 0.5000 0.5000 0.7500
Y1 0.0000 0.0000 0.5133
Y2 0.0000 0.0000 0.9867
Cu1 0.5000 0.5000 0.2500
# - SG: P4/mmm (123)
# - Volume: 21.1 Å³/atom
# - Energy relative to the elements: 0.0407 eV/atom

---

Q: Look up the energy relative to the elements of the second one.
A: 0.0407 eV/atom

---

Please write out number 1 again, unchanged.
# Y2CuRe | Alexandria | GGA-PBE | optimized geometry
data_Y2CuRe
_chemical_formula_sum 'Y2 Cu1 Re1'
_space_group_name_H-M_alt 'P 1'
_space_group_IT_number 1
_cell_length_a 5.9545
_cell_length_b 5.9545
_cell_length_c 4.7913
_cell_angle_alpha 66.48
_cell_angle_beta 66.48
_cell_angle_gamma 33.03
loop_
_space_group_symop_operation_xyz
'x,y,z'
loop_
_atom_site_label
_atom_site_fract_x
_atom_site_fract_y
_atom_site_fract_z
Y1 0.0237 0.0237 0.9756
Y2 0.2317 0.2317 0.2689
Cu1 0.4642 0.4642 0.5348
Re1 0.7804 0.7804 0.7206
# - SG: Cm (8)
# - Volume: 21.0 Å³/atom
# - Energy relative to the elements: 0.1621 eV/atom

---

Q: What is the energy relative to the elements in the second record?
A: 0.0407 eV/atom

---

Q: Among the records above, which one has the highest volume?
A: number 2